# YMoO2F PBE+U optimized geometry
data_YMoO2F
_chemical_formula_sum 'Y1 Mo1 O2 F1'
_cell_length_a 4.183
_cell_length_b 4.183
_cell_length_c 4.175
_cell_angle_alpha 90.00
_cell_angle_beta 90.00
_cell_angle_gamma 90.00
_symmetry_space_group_name_H-M 'P 4/m m m'
_symmetry_Int_Tables_number 123
_symmetry_space_group_name_Hall '-P 4 2'
loop_
_atom_site_label
_atom_site_type_symbol
_atom_site_fract_x
_atom_site_fract_y
_atom_site_fract_z
Y1 Y 0.000 0.000 0.000
Mo1 Mo 0.500 0.500 0.500
O1 O 0.000 0.500 0.500
F1 F 0.500 0.500 0.000
# * N(E_F): 0.4624 states/eV per atom
# * energy: -6.865 eV per atom